#a
Ba2SrFe: optimized geometry, PBE-GGA.

Cell lengths 8.4261, 8.4261, 8.4264 Å; angles 60.00, 60.00, 90.00 degrees
Last column: nearest neighbours and their distance in Å.
Positions (direct):
Fe 0.2500 0.7500 0.5000  4 Ba 2.58
Fe 0.5000 0.5000 0.0000  4 Ba 2.58
Ba 0.3735 0.6250 0.2500  2 Fe 2.58
Sr 0.7500 0.2500 0.5000  12 Ba 4.93-4.95, 4 Fe 5.16, 4 Sr 5.16
Ba 0.8750 0.6265 0.7500  2 Fe 2.58
Ba 0.3750 0.6235 0.7500  2 Fe 2.58
Sr 0.0000 0.0000 0.0000  12 Ba 4.93-4.95, 4 Fe 5.16, 4 Sr 5.16
Ba 0.3765 0.1250 0.2500  2 Fe 2.58

Output
Space group: I-42d (122)



#b
Ba2SrFe: optimized geometry, PBE-GGA.

Cell lengths 7.6234, 7.6234, 6.4235 Å; angles 65.14, 65.14, 31.41 degrees
Last column: nearest neighbours and their distance in Å.
Positions (direct):
Ba 0.8146 0.8146 0.6854  2 Fe 3.22
Fe 0.5017 0.5017 0.4982  2 Sr 3.18, 2 Ba 3.22
Sr 0.1846 0.1846 0.3155  2 Fe 3.18
Ba 0.9991 0.9991 0.0009  4 Fe 3.82, 4 Ba 4.03-4.13, 2 Sr 4.04

Output
Space group: Cm (8)



#c
Ba2SrFe: optimized geometry, PBE-GGA.

Cell lengths 5.6017, 5.6017, 5.3242 Å; angles 90.00, 90.00, 90.00 degrees
Last column: nearest neighbours and their distance in Å.
Positions (direct):
Ba 0.0000 0.0000 0.0000  4 Fe 3.86, 4 Sr 3.86, 4 Ba 3.96
Fe 0.5000 0.0000 0.5000  8 Ba 3.86, 4 Sr 3.96
Ba 0.5000 0.5000 0.0000  4 Fe 3.86, 4 Sr 3.86, 4 Ba 3.96
Sr 0.0000 0.5000 0.5000  8 Ba 3.86, 4 Fe 3.96

Output
Space group: P4/mmm (123)



#d
Ba2SrFe: optimized geometry, PBE-GGA.

Cell lengths 4.0516, 4.0565, 11.3466 Å; angles 68.99, 90.00, 90.00 degrees
Last column: nearest neighbours and their distance in Å.
Positions (direct):
Ba 0.0000 0.0093 0.9909  4 Ba 4.05-4.06, 4 Sr 4.42
Sr 0.5000 0.8262 0.6735  4 Fe 3.36, 1 Ba 3.67
Ba 0.5000 0.1728 0.3272  4 Fe 3.45, 1 Sr 3.67
Fe 0.0000 0.4916 0.5084  4 Sr 3.36, 4 Ba 3.45

Output
Space group: Pm (6)



Last place for stability: #a



#a
BaTaFe2: optimized geometry, PBE-GGA.

Cell lengths 3.6393, 3.6882, 6.9316 Å; angles 74.52, 90.00, 90.00 degrees
Last column: nearest neighbours and their distance in Å.
Positions (direct):
Fe 0.5000 0.0450 0.2844  2 Fe 2.25
Ba 0.5000 0.7925 0.7913  5 Fe 3.25-3.39, 2 Ba 3.64
Ta 0.0000 0.5182 0.3380  6 Fe 2.49-2.62
Fe 0.0000 0.1443 0.0863  2 Fe 2.25, 2 Ta 2.49-2.50

Output
Space group: Amm2 (38)



#b
BaTaFe2: optimized geometry, PBE-GGA.

Cell lengths 3.3081, 3.3081, 7.5485 Å; angles 90.00, 90.00, 90.00 degrees
Last column: nearest neighbours and their distance in Å.
Positions (direct):
Fe 0.0000 0.0000 0.4069  1 Fe 2.37, 4 Ta 2.62
Ta 0.5000 0.5000 0.2500  8 Fe 2.62
Ba 0.5000 0.5000 0.7500  4 Ba 3.31, 8 Fe 3.49
Fe 0.0000 0.0000 0.0931  1 Fe 2.37, 4 Ta 2.62

Output
Space group: P4/mmm (123)



#c
BaTaFe2: optimized geometry, PBE-GGA.

Cell lengths 3.9783, 3.9783, 7.1733 Å; angles 73.93, 73.93, 59.96 degrees
Last column: nearest neighbours and their distance in Å.
Positions (direct):
Ba 0.7326 0.7326 0.8008  6 Fe 3.44-3.45, 1 Ta 3.68
Ta 0.5528 0.5528 0.3424  6 Fe 2.55
Fe 0.9408 0.9408 0.1781  3 Fe 2.30, 3 Ta 2.55
Fe 0.2739 0.2739 0.1787  3 Fe 2.30, 3 Ta 2.55

Output
Space group: R3m (160)



#d
BaTaFe2: optimized geometry, PBE-GGA.

Cell lengths 8.9657, 8.9657, 8.9657 Å; angles 20.91, 20.91, 20.91 degrees
Last column: nearest neighbours and their distance in Å.
Positions (direct):
Ba 0.7500 0.7500 0.7500  6 Fe 3.25, 6 Ba 3.25
Ta 0.2500 0.2500 0.2500  6 Fe 2.55
Fe 0.9825 0.9825 0.9825  3 Ta 2.55
Fe 0.5175 0.5175 0.5175  3 Ta 2.55

Output
Space group: R-3m (166)



Last place for stability: #d



#a
BaTaFe2: optimized geometry, PBE-GGA.

Cell lengths 4.6345, 4.6345, 6.6298 Å; angles 72.86, 72.86, 43.55 degrees
Last column: nearest neighbours and their distance in Å.
Positions (direct):
Ta 0.2500 0.2500 0.2500  6 Fe 2.53-2.66
Fe 0.5235 0.5235 0.3557  2 Fe 2.33, 2 Ta 2.53
Fe 0.9765 0.9765 0.1443  2 Fe 2.33, 2 Ta 2.53
Ba 0.7500 0.7500 0.7500  6 Fe 3.38-3.72, 2 Ba 3.44, 4 Ta 3.73

Output
Space group: C2/m (12)



#b
BaTaFe2: optimized geometry, PBE-GGA.

Cell lengths 7.1784, 7.1784, 6.0202 Å; angles 53.40, 53.40, 90.00 degrees
Last column: nearest neighbours and their distance in Å.
Positions (direct):
Fe 0.8750 0.9336 0.7500  2 Ta 2.40
Fe 0.6836 0.1250 0.2500  2 Ta 2.40
Fe 0.0664 0.6250 0.2500  2 Ta 2.40
Ta 0.0000 0.0000 0.0000  4 Fe 2.40
Ba 0.5000 0.5000 0.0000  8 Fe 2.96-3.32, 2 Ta 3.24
Ba 0.2500 0.7500 0.5000  8 Fe 2.96-3.32, 2 Ta 3.24
Fe 0.3750 0.3164 0.7500  2 Ta 2.40
Ta 0.7500 0.2500 0.5000  4 Fe 2.40

Output
Space group: I-42d (122)



Last place for stability: #b



#a
BaTaFe2: optimized geometry, PBE-GGA.

Cell lengths 7.3275, 7.3275, 7.3275 Å; angles 154.15, 148.51, 41.18 degrees
Last column: nearest neighbours and their distance in Å.
Positions (direct):
Fe 0.8531 0.3531 0.5000  2 Fe 2.33, 2 Ta 2.56
Ba 0.2029 0.7029 0.5000  2 Ba 3.28, 6 Fe 3.30-3.55
Fe 0.9736 0.9736 0.0000  2 Fe 2.33, 4 Ta 2.58
Ta 0.4704 0.4704 0.0000  6 Fe 2.56-2.58

Output
Space group: Imm2 (44)



#b
BaTaFe2: optimized geometry, PBE-GGA.

Cell lengths 5.0734, 5.0734, 5.0734 Å; angles 128.99, 111.57, 90.18 degrees
Last column: nearest neighbours and their distance in Å.
Positions (direct):
Fe 0.5670 0.5670 0.0000  2 Ta 2.55, 1 Fe 2.62
Fe 0.9330 0.9330 0.0000  2 Ta 2.55, 1 Fe 2.62
Ba 0.2500 0.7500 0.5000  8 Fe 3.14-3.15
Ta 0.7500 0.2500 0.5000  4 Fe 2.55

Output
Space group: Immm (71)



#c
BaTaFe2: optimized geometry, PBE-GGA.

Cell lengths 5.5822, 5.5822, 5.5822 Å; angles 138.40, 138.40, 60.29 degrees
Last column: nearest neighbours and their distance in Å.
Positions (direct):
Fe 0.2500 0.7500 0.5000  4 Ba 2.80, 4 Ta 3.12, 4 Fe 3.12
Ta 0.5000 0.5000 0.0000  8 Fe 2.80-3.12, 4 Ba 3.12
Ba 0.7500 0.2500 0.5000  8 Fe 2.80-3.12, 4 Ta 3.12
Fe 0.0000 0.0000 0.0000  4 Ta 2.80, 4 Fe 3.12, 4 Ba 3.12

Output
Space group: I-4m2 (119)



Last place for stability: #c



#a
BaTaFe2: optimized geometry, PBE-GGA.

Cell lengths 4.7243, 4.7243, 4.7243 Å; angles 60.00, 60.00, 60.00 degrees
Last column: nearest neighbours and their distance in Å.
Positions (direct):
Fe 0.7500 0.7500 0.7500  4 Ba 2.89, 4 Fe 2.89
Fe 0.0000 0.0000 0.0000  4 Ta 2.89, 4 Fe 2.89
Ta 0.2500 0.2500 0.2500  4 Ba 2.89, 4 Fe 2.89
Ba 0.5000 0.5000 0.5000  4 Ta 2.89, 4 Fe 2.89

Output
Space group: F-43m (216)



#b
BaTaFe2: optimized geometry, PBE-GGA.

Cell lengths 3.1715, 3.1715, 8.1146 Å; angles 90.00, 90.00, 90.00 degrees
Last column: nearest neighbours and their distance in Å.
Positions (direct):
Ba 0.5000 0.5000 0.7724  4 Ba 3.17, 4 Fe 3.41
Fe 0.5000 0.5000 0.2371  4 Fe 2.55, 4 Ta 2.61
Ta 0.0000 0.0000 0.4019  5 Fe 2.54-2.61
Fe 0.0000 0.0000 0.0885  1 Ta 2.54, 4 Fe 2.55

Output
Space group: P4mm (99)



#c
BaTaFe2: optimized geometry, PBE-GGA.

Cell lengths 4.9751, 4.9751, 3.1025 Å; angles 90.00, 90.00, 90.01 degrees
Last column: nearest neighbours and their distance in Å.
Positions (direct):
Fe 0.5000 0.5000 0.0000  4 Ta 2.93, 4 Ba 2.93, 2 Fe 3.10
Fe 0.0000 0.0000 0.0000  4 Ba 2.93, 4 Ta 2.93, 2 Fe 3.10
Ba 0.0000 0.5000 0.5000  8 Fe 2.93, 2 Ba 3.10
Ta 0.5000 0.0000 0.5000  8 Fe 2.93, 2 Ta 3.10

Output
Space group: P4/mmm (123)



#d
BaTaFe2: optimized geometry, PBE-GGA.

Cell lengths 4.7792, 4.7792, 4.7792 Å; angles 60.00, 60.00, 60.00 degrees
Last column: nearest neighbours and their distance in Å.
Positions (direct):
Ta 0.5000 0.5000 0.5000  8 Fe 2.93
Ba 0.0000 0.0000 0.0000  8 Fe 2.93
Fe 0.2500 0.2500 0.2500  4 Ba 2.93, 4 Ta 2.93
Fe 0.7500 0.7500 0.7500  4 Ba 2.93, 4 Ta 2.93

Output
Space group: Fm-3m (225)



Last place for stability: #a



#a
Ba2Ta2Fe: optimized geometry, PBE-GGA.

Cell lengths 6.4886, 6.4886, 6.0469 Å; angles 90.00, 90.00, 90.00 degrees
Last column: nearest neighbours and their distance in Å.
Positions (direct):
Fe 0.0000 0.0000 0.0000  4 Ta 2.45
Fe 0.5000 0.5000 0.0000  4 Ta 2.45
Ba 0.6826 0.8174 0.5000  5 Ba 3.35-3.36, 6 Ta 3.37-3.74
Ta 0.8443 0.6557 0.0000  2 Fe 2.45
Ba 0.8174 0.3174 0.5000  5 Ba 3.35-3.36, 6 Ta 3.37-3.74
Ta 0.1557 0.3443 0.0000  2 Fe 2.45
Ta 0.3443 0.8443 0.0000  2 Fe 2.45
Ba 0.3174 0.1826 0.5000  5 Ba 3.35-3.36, 6 Ta 3.37-3.74
Ba 0.1826 0.6826 0.5000  5 Ba 3.35-3.36, 6 Ta 3.37-3.74
Ta 0.6557 0.1557 0.0000  2 Fe 2.45

Output
Space group: P4/mbm (127)



#b
Ba2Ta2Fe: optimized geometry, PBE-GGA.

Cell lengths 4.1641, 4.1641, 8.5350 Å; angles 75.88, 75.88, 90.00 degrees
Last column: nearest neighbours and their distance in Å.
Positions (direct):
Ta 0.4287 0.4287 0.1426  1 Ta 2.28
Ba 0.7500 0.2500 0.5000  4 Ba 2.94
Ba 0.2500 0.7500 0.5000  4 Ba 2.94
Ta 0.5713 0.5713 0.8574  1 Ta 2.28
Fe 0.0000 0.0000 0.0000  8 Ta 3.16

Output
Space group: I4/mmm (139)



Last place for stability: #b